Entry 1:
# Li2ZnO2 | Alexandria | GGA-PBE | optimized geometry
data_Li2ZnO2
_chemical_formula_sum 'Li8 Zn4 O8'
_space_group_name_H-M_alt 'C 1 2/m 1'
_space_group_IT_number 12
_space_group_name_Hall '-C 2y'
_cell_length_a 10.7059
_cell_length_b 3.5506
_cell_length_c 7.2700
_cell_angle_alpha 90.00
_cell_angle_beta 123.32
_cell_angle_gamma 90.00
loop_
_atom_site_label
_atom_site_type_symbol
_atom_site_fract_x
_atom_site_fract_y
_atom_site_fract_z
_atom_site_occupancy
Li1 Li 0.0340 0.0000 0.1975 1
Li2 Li 0.1627 0.5000 0.9897 1
Zn1 Zn 0.1513 0.5000 0.6197 1
O1 O 0.0195 0.5000 0.3151 1
O2 O 0.1765 0.0000 0.1016 1
# **Formation energy from raw total energies**: -1.621 eV per atom
# **N(E_F)**: 0.000 states/eV per atom
# **Volume**: 11.55 Å³/atom

=====

Entry 2:
# YU3In3Se8 | Alexandria | GGA-PBE | optimized geometry
data_YU3In3Se8
_chemical_formula_sum 'Y3 U9 In9 Se24'
_space_group_name_H-M_alt 'R -3 m'
_space_group_IT_number 166
_space_group_name_Hall '-R 3 2"'
_cell_length_a 8.2486
_cell_length_b 8.2486
_cell_length_c 23.4257
_cell_angle_alpha 90.00
_cell_angle_beta 90.00
_cell_angle_gamma 120.00
loop_
_atom_site_label
_atom_site_type_symbol
_atom_site_fract_x
_atom_site_fract_y
_atom_site_fract_z
_atom_site_occupancy
Y1 Y 0.0000 0.0000 0.0000 1
U1 U 0.0000 0.5000 0.0000 1
In1 In 0.0000 0.5000 0.5000 1
Se1 Se 0.0000 0.0000 0.2633 1
Se2 Se 0.0013 0.5006 0.2642 1
# **Formation energy from raw total energies**: -1.009 eV per atom
# **N(E_F)**: 1.031 states/eV per atom
# **Volume**: 30.67 Å³/atom

=====

Entry 3:
# BeHgRh2 | Alexandria | GGA-PBE | optimized geometry
data_BeHgRh2
_chemical_formula_sum 'Be1 Hg1 Rh2'
_space_group_name_H-M_alt 'P m m m'
_space_group_IT_number 47
_space_group_name_Hall '-P 2 2'
_cell_length_a 2.9690
_cell_length_b 4.3723
_cell_length_c 4.5791
_cell_angle_alpha 90.00
_cell_angle_beta 90.00
_cell_angle_gamma 90.00
loop_
_atom_site_label
_atom_site_type_symbol
_atom_site_fract_x
_atom_site_fract_y
_atom_site_fract_z
_atom_site_occupancy
Be1 Be 0.0000 0.0000 0.0000 1
Hg1 Hg 0.5000 0.0000 0.5000 1
Rh1 Rh 0.0000 0.5000 0.5000 1
Rh2 Rh 0.5000 0.5000 0.0000 1
# **ΔH_f (0 K)**: 0.223 eV/atom
# **N(E_F)**: 0.815 states/eV per atom
# **Volume**: 14.86 Å³/atom
# **Excess energy over the best structure of this formula in the dataset**: 374 meV/atom

=====

Entry 4:
# K2YZrSe4 | Alexandria | GGA-PBE | optimized geometry
data_K2YZrSe4
_chemical_formula_sum 'K2 Y1 Zr1 Se4'
_space_group_name_H-M_alt 'P 1 2/m 1'
_space_group_IT_number 10
_space_group_name_Hall '-P 2y'
_cell_length_a 7.0752
_cell_length_b 4.0489
_cell_length_c 8.0762
_cell_angle_alpha 90.00
_cell_angle_beta 106.72
_cell_angle_gamma 90.00
loop_
_atom_site_label
_atom_site_type_symbol
_atom_site_fract_x
_atom_site_fract_y
_atom_site_fract_z
_atom_site_occupancy
K1 K 0.0000 0.0000 0.0000 1
K2 K 0.5000 0.5000 0.0000 1
Y1 Y 0.0000 0.5000 0.5000 1
Zr1 Zr 0.5000 0.0000 0.5000 1
Se1 Se 0.2463 0.0000 0.7068 1
Se2 Se 0.2757 0.5000 0.2970 1
# **Formation energy from raw total energies**: -1.529 eV per atom
# **N(E_F)**: 0.408 states/eV per atom
# **Volume**: 27.70 Å³/atom

=====

Entry 5:
# SrCaSc2 | Alexandria | GGA-PBE | optimized geometry
data_SrCaSc2
_chemical_formula_sum 'Sr4 Ca4 Sc8'
_space_group_name_H-M_alt 'F m -3 m'
_space_group_IT_number 225
_space_group_name_Hall '-F 4 2 3'
_cell_length_a 8.1126
_cell_length_b 8.1126
_cell_length_c 8.1126
_cell_angle_alpha 90.00
_cell_angle_beta 90.00
_cell_angle_gamma 90.00
loop_
_atom_site_label
_atom_site_type_symbol
_atom_site_fract_x
_atom_site_fract_y
_atom_site_fract_z
_atom_site_occupancy
Sr1 Sr 0.0000 0.0000 0.0000 1
Ca1 Ca 0.0000 0.0000 0.5000 1
Sc1 Sc 0.2500 0.2500 0.2500 1
# **ΔH_f (0 K)**: 0.372 eV/atom
# **N(E_F)**: 2.203 states/eV per atom
# **Volume**: 33.37 Å³/atom
# **Excess energy over the best structure of this formula in the dataset**: 208 meV/atom

=====

Entry 6:
# AlTcHg2 | Alexandria | GGA-PBE | optimized geometry
data_AlTcHg2
_chemical_formula_sum 'Al2 Tc2 Hg4'
_space_group_name_H-M_alt 'C m m m'
_space_group_IT_number 65
_space_group_name_Hall '-C 2 2'
_cell_length_a 2.9059
_cell_length_b 5.4207
_cell_length_c 9.8142
_cell_angle_alpha 90.00
_cell_angle_beta 90.00
_cell_angle_gamma 90.00
loop_
_atom_site_label
_atom_site_type_symbol
_atom_site_fract_x
_atom_site_fract_y
_atom_site_fract_z
_atom_site_occupancy
Al1 Al 0.0000 0.0000 0.0000 1
Tc1 Tc 0.0000 0.0000 0.5000 1
Hg1 Hg 0.0000 0.5000 0.2525 1
# **ΔH_f (0 K)**: 0.566 eV/atom
# **N(E_F)**: 0.646 states/eV per atom
# **Volume**: 19.32 Å³/atom

=====

Entry 7:
# AcCd2Ni2Pt | Alexandria | GGA-PBE | optimized geometry
data_AcCd2Ni2Pt
_chemical_formula_sum 'Ac2 Cd4 Ni4 Pt2'
_space_group_name_H-M_alt 'I 4/m m m'
_space_group_IT_number 139
_space_group_name_Hall '-I 4 2'
_cell_length_a 5.0108
_cell_length_b 5.0108
_cell_length_c 10.6723
_cell_angle_alpha 90.00
_cell_angle_beta 90.00
_cell_angle_gamma 90.00
loop_
_atom_site_label
_atom_site_type_symbol
_atom_site_fract_x
_atom_site_fract_y
_atom_site_fract_z
_atom_site_occupancy
Ac1 Ac 0.0000 0.0000 0.0000 1
Cd1 Cd 0.0000 0.5000 0.2500 1
Ni1 Ni 0.0000 0.0000 0.2717 1
Pt1 Pt 0.0000 0.0000 0.5000 1
# **ΔH_f (0 K)**: -0.024 eV/atom
# **N(E_F)**: 0.697 states/eV per atom
# **Volume**: 22.33 Å³/atom

=====

Entry 8:
# PbSe3 | Alexandria | GGA-PBE | optimized geometry
data_PbSe3
_chemical_formula_sum 'Pb2 Se6'
_space_group_name_H-M_alt 'C 1 2/m 1'
_space_group_IT_number 12
_space_group_name_Hall '-C 2y'
_cell_length_a 12.3898
_cell_length_b 4.2218
_cell_length_c 4.2986
_cell_angle_alpha 90.00
_cell_angle_beta 110.11
_cell_angle_gamma 90.00
loop_
_atom_site_label
_atom_site_type_symbol
_atom_site_fract_x
_atom_site_fract_y
_atom_site_fract_z
_atom_site_occupancy
Pb1 Pb 0.0000 0.0000 0.0000 1
Se1 Se 0.0000 0.5000 0.5000 1
Se2 Se 0.2444 0.5000 0.7446 1
# **Formation energy from raw total energies**: -0.078 eV per atom
# **N(E_F)**: 0.357 states/eV per atom
# **Volume**: 26.39 Å³/atom

=====

Entry 9:
# TaCuPO2 | Alexandria | GGA-PBE | optimized geometry
data_TaCuPO2
_chemical_formula_sum 'Ta1 Cu1 P1 O2'
_space_group_name_H-M_alt 'P 4/m m m'
_space_group_IT_number 123
_space_group_name_Hall '-P 4 2'
_cell_length_a 3.7031
_cell_length_b 3.7031
_cell_length_c 4.6025
_cell_angle_alpha 90.00
_cell_angle_beta 90.00
_cell_angle_gamma 90.00
loop_
_atom_site_label
_atom_site_type_symbol
_atom_site_fract_x
_atom_site_fract_y
_atom_site_fract_z
_atom_site_occupancy
Ta1 Ta 0.0000 0.0000 0.0000 1
Cu1 Cu 0.5000 0.5000 0.5000 1
P1 P 0.5000 0.5000 0.0000 1
O1 O 0.0000 0.5000 0.5000 1
# **Formation energy from raw total energies**: 0.068 eV per atom
# **N(E_F)**: 0.615 states/eV per atom
# **Volume**: 12.62 Å³/atom
# **Excess energy over the best structure of this formula in the dataset**: 1268 meV/atom

=====

Entry 10:
# Li5AgHg2Pd2 | Alexandria | GGA-PBE | optimized geometry
data_Li5AgHg2Pd2
_chemical_formula_sum 'Li10 Ag2 Hg4 Pd4'
_space_group_name_H-M_alt 'P 4/m b m'
_space_group_IT_number 127
_space_group_name_Hall '-P 4 2ab'
_cell_length_a 9.4494
_cell_length_b 9.4494
_cell_length_c 3.8191
_cell_angle_alpha 90.00
_cell_angle_beta 90.00
_cell_angle_gamma 90.00
loop_
_atom_site_label
_atom_site_type_symbol
_atom_site_fract_x
_atom_site_fract_y
_atom_site_fract_z
_atom_site_occupancy
Li1 Li 0.0000 0.5000 0.0000 1
Li2 Li 0.0732 0.2012 0.0000 1
Ag1 Ag 0.0000 0.0000 0.5000 1
Hg1 Hg 0.1791 0.6791 0.5000 1
Pd1 Pd 0.1145 0.3855 0.5000 1
# **ΔH_f (0 K)**: -0.292 eV/atom
# **N(E_F)**: 0.334 states/eV per atom
# **Volume**: 17.05 Å³/atom

=====

Entry 11:
# Sr2CaLaRe | Alexandria | GGA-PBE | optimized geometry
data_Sr2CaLaRe
_chemical_formula_sum 'Sr2 Ca1 La1 Re1'
_space_group_name_H-M_alt 'P 4/m m m'
_space_group_IT_number 123
_space_group_name_Hall '-P 4 2'
_cell_length_a 6.1552
_cell_length_b 6.1552
_cell_length_c 5.4077
_cell_angle_alpha 90.00
_cell_angle_beta 90.00
_cell_angle_gamma 90.00
loop_
_atom_site_label
_atom_site_type_symbol
_atom_site_fract_x
_atom_site_fract_y
_atom_site_fract_z
_atom_site_occupancy
Sr1 Sr 0.0000 0.5000 0.0000 1
Ca1 Ca 0.0000 0.0000 0.5000 1
La1 La 0.5000 0.5000 0.5000 1
Re1 Re 0.5000 0.5000 0.0000 1
# **ΔH_f (0 K)**: 0.441 eV/atom
# **N(E_F)**: 0.927 states/eV per atom
# **Volume**: 40.98 Å³/atom

=====

Entry 12:
# CsGaP | Alexandria | GGA-PBE | optimized geometry
data_CsGaP
_chemical_formula_sum 'Cs2 Ga2 P2'
_space_group_name_H-M_alt 'I 4 m m'
_space_group_IT_number 107
_space_group_name_Hall 'I 4 -2'
_cell_length_a 5.4226
_cell_length_b 5.4226
_cell_length_c 9.6226
_cell_angle_alpha 90.00
_cell_angle_beta 90.00
_cell_angle_gamma 90.00
loop_
_atom_site_label
_atom_site_type_symbol
_atom_site_fract_x
_atom_site_fract_y
_atom_site_fract_z
_atom_site_occupancy
Cs1 Cs 0.0000 0.0000 0.0000 1
Ga1 Ga 0.0000 0.0000 0.3876 1
P1 P 0.0000 0.0000 0.6132 1
# **ΔH_f (0 K)**: 0.300 eV/atom
# **N(E_F)**: 0.600 states/eV per atom
# **Volume**: 47.16 Å³/atom
# **Excess energy over the best structure of this formula in the dataset**: 661 meV/atom

=====

Asked for magnetization across the records above, the calculation gives 0.0 24.0 0.0 0.0 2.2 2.1 0.0 0.0 0.0 0.0 0.5 2.1 Bohr magnetons per cell in order.